## w
! Pb2Se2I PBE relaxed; values from VASP
&SYSTEM
  ibrav = 0, nat = 10, ntyp = 3
/
ATOMIC_SPECIES
Pb 207.20 Pb.upf
Se 78.96 Se.upf
I 126.90 I.upf
CELL_PARAMETERS angstrom
8.738 0.000 0.000
0.000 8.738 0.000
0.000 0.000 3.918
ATOMIC_POSITIONS angstrom
Pb 7.425 3.057 1.959
Pb 3.057 1.312 1.959
Pb 5.681 7.425 1.959
Pb 1.312 5.681 1.959
Se 1.206 3.162 0.000
Se 3.162 7.531 0.000
Se 5.575 1.206 0.000
Se 7.531 5.575 0.000
I 0.000 0.000 0.000
I 4.369 4.369 0.000
! Density of states at the Fermi level ... 4.4 states/eV/f.u.
! Spin magnetization ... 0.000 μB/cell
! Space-group type ... P4/mbm, No. 127

---

## x
! Pb2Se2I PBE relaxed; values from VASP
&SYSTEM
  ibrav = 0, nat = 10, ntyp = 3
/
ATOMIC_SPECIES
Pb 207.20 Pb.upf
Se 78.96 Se.upf
I 126.90 I.upf
CELL_PARAMETERS angstrom
-2.077 -1.113 -8.452
2.064 -8.506 0.613
-3.602 -0.803 0.991
ATOMIC_POSITIONS angstrom
Pb -0.391 -6.534 -6.713
Pb -1.041 -2.077 -5.464
Pb 0.378 -3.085 -1.126
Pb 1.027 -7.543 -2.374
Se -2.285 -1.947 -2.517
Se -1.330 -8.474 -4.330
Se -0.771 -5.942 -0.247
Se -2.844 -4.480 -6.600
I -0.007 -4.810 -3.919
I 0.000 0.000 0.000
! Density of states at the Fermi level ... 2.8 states/eV/f.u.
! Spin magnetization ... 0.000 μB/cell
! Space-group type ... P4/mbm, No. 127

---

Which of them is most stable? Easy: x.

---

## w
! TePbSeI2 PBE relaxed; values from VASP
&SYSTEM
  ibrav = 0, nat = 5, ntyp = 4
/
ATOMIC_SPECIES
Se 78.96 Se.upf
I 126.90 I.upf
Pb 207.20 Pb.upf
Te 127.60 Te.upf
CELL_PARAMETERS angstrom
6.219 0.000 0.000
0.000 6.219 0.000
0.000 0.000 6.101
ATOMIC_POSITIONS angstrom
Se 3.109 3.109 3.050
I 3.109 0.000 0.000
I 0.000 3.109 0.000
Pb 0.000 0.000 0.000
Te 0.000 0.000 3.050
! Density of states at the Fermi level ... 4.4 states/eV/f.u.
! Spin magnetization ... 3.626 μB/cell
! Space-group type ... P4/mmm, No. 123

---

## x
! TePbSeI2 PBE relaxed; values from VASP
&SYSTEM
  ibrav = 0, nat = 5, ntyp = 4
/
ATOMIC_SPECIES
Te 127.60 Te.upf
I 126.90 I.upf
Se 78.96 Se.upf
Pb 207.20 Pb.upf
CELL_PARAMETERS angstrom
-4.065 3.990 0.860
-4.006 -4.133 0.237
0.770 -0.425 5.615
ATOMIC_POSITIONS angstrom
Te 0.385 -0.212 2.808
I -2.033 1.995 0.430
I -2.003 -2.066 0.118
Se 0.000 0.000 0.000
Pb -3.651 -0.284 3.356
! Density of states at the Fermi level ... 4.9 states/eV/f.u.
! Spin magnetization ... 0.000 μB/cell
! Space-group type ... P4/mmm, No. 123

---

Which of them is most stable? Easy: x.

---

## w
! SiPbI3 PBE relaxed; values from VASP
&SYSTEM
  ibrav = 0, nat = 5, ntyp = 3
/
ATOMIC_SPECIES
Si 28.09 Si.upf
I 126.90 I.upf
Pb 207.20 Pb.upf
CELL_PARAMETERS angstrom
6.232 0.000 0.000
0.000 6.232 0.000
0.000 0.000 6.232
ATOMIC_POSITIONS angstrom
Si 3.116 3.116 3.116
I 0.000 3.116 0.000
I 0.000 0.000 3.116
I 3.116 0.000 0.000
Pb 0.000 0.000 0.000
! Density of states at the Fermi level ... 4.0 states/eV/f.u.
! Spin magnetization ... 1.008 μB/cell
! Space-group type ... Pm-3m, No. 221

---

## x
! SiPbI3 PBE relaxed; values from VASP
&SYSTEM
  ibrav = 0, nat = 5, ntyp = 3
/
ATOMIC_SPECIES
Pb 207.20 Pb.upf
I 126.90 I.upf
Si 28.09 Si.upf
CELL_PARAMETERS angstrom
5.656 0.000 0.000
0.000 5.656 0.000
0.000 0.000 5.656
ATOMIC_POSITIONS angstrom
Pb 2.828 2.828 2.828
I 0.000 0.000 2.828
I 2.828 0.000 0.000
I 0.000 2.828 0.000
Si 0.000 0.000 0.000
! Density of states at the Fermi level ... 2.2 states/eV/f.u.
! Spin magnetization ... 0.996 μB/cell
! Space-group type ... Pm-3m, No. 221

---

Which of them is most stable? Easy: x.

---

## w
! SiPbI2 PBE relaxed; values from VASP
&SYSTEM
  ibrav = 0, nat = 8, ntyp = 3
/
ATOMIC_SPECIES
I 126.90 I.upf
Pb 207.20 Pb.upf
Si 28.09 Si.upf
CELL_PARAMETERS angstrom
-4.984 0.717 2.167
1.716 -2.252 4.693
1.081 8.155 6.719
ATOMIC_POSITIONS angstrom
I -2.093 4.832 10.920
I -2.500 2.187 3.564
I 0.590 0.739 4.940
I -0.370 5.482 7.734
Pb 0.000 0.000 0.000
Pb -2.768 4.053 6.158
Si 0.582 2.568 7.421
Si -1.634 -0.768 3.430
! Density of states at the Fermi level ... 1.9 states/eV/f.u.
! Spin magnetization ... 0.000 μB/cell
! Space-group type ... I-42d, No. 122

---

## x
! SiPbI2 PBE relaxed; values from VASP
&SYSTEM
  ibrav = 0, nat = 4, ntyp = 3
/
ATOMIC_SPECIES
I 126.90 I.upf
Pb 207.20 Pb.upf
Si 28.09 Si.upf
CELL_PARAMETERS angstrom
0.000 3.920 3.920
3.920 0.000 3.920
3.920 3.920 0.000
ATOMIC_POSITIONS angstrom
I 1.960 1.960 1.960
I 5.879 5.879 5.879
Pb 3.920 3.920 3.920
Si 0.000 0.000 0.000
! Density of states at the Fermi level ... 3.5 states/eV/f.u.
! Spin magnetization ... 0.000 μB/cell
! Space-group type ... Fm-3m, No. 225

---

Which of them is most stable? Easy: w.